1.
Compound: AlCoSb2Te
Source: Alexandria
Functional: PBE-GGA
Structure: optimized geometry

Cell lengths 4.7836, 4.7836, 5.6197 Å; angles 90.00, 90.00, 90.00 degrees
Element x y z (fractional)
Al 0.5000 0.5000 0.5000
Te 0.0000 0.0000 0.5000
Sb 0.0000 0.5000 0.0000
Sb 0.5000 0.0000 0.0000
Co 0.0000 0.0000 0.0000

Uncorrected formation energy = 0.413 eV per atom
Polymorph energy (0 for the lowest one) = 0.000 eV/atom

***

2.
Compound: MgFePt2Br
Source: Alexandria
Functional: PBE-GGA
Structure: optimized geometry

Cell lengths 4.7592, 4.6604, 4.7592 Å; angles 90.00, 90.00, 90.00 degrees
Element x y z (fractional)
Br 0.0000 0.5000 0.0000
Pt 0.0000 0.0000 0.5000
Pt 0.5000 0.0000 0.0000
Mg 0.5000 0.5000 0.5000
Fe 0.0000 0.0000 0.0000

Uncorrected formation energy = 0.409 eV per atom

***

3.
Compound: Sm8Y4Pu
Source: Alexandria
Functional: PBE-GGA
Structure: optimized geometry

Cell lengths 7.8360, 7.8360, 7.8360 Å; angles 90.18, 90.18, 90.18 degrees
Element x y z (fractional)
Sm 0.2450 0.7565 0.7565
Sm 0.2435 0.2435 0.7550
Sm 0.7560 0.7560 0.7560
Sm 0.2440 0.2440 0.2440
Sm 0.7550 0.2435 0.2435
Sm 0.7565 0.2450 0.7565
Sm 0.2435 0.7550 0.2435
Sm 0.7565 0.7565 0.2450
Y 0.0000 0.0000 0.0000
Y 0.0000 0.5000 0.5000
Y 0.5000 0.0000 0.5000
Y 0.5000 0.5000 0.0000
Pu 0.5000 0.5000 0.5000

Electronic total energy = -71.18 eV per formula unit

***

4.
Compound: Th2Pa4Ge3H2
Source: Alexandria
Functional: PBE-GGA
Structure: optimized geometry

Cell lengths 4.3617, 4.3617, 12.7816 Å; angles 99.82, 99.82, 90.00 degrees
Element x y z (fractional)
Th 0.2998 0.2998 0.5996
Th 0.7002 0.7002 0.4004
Ge 0.1716 0.1716 0.3433
Ge 0.8284 0.8284 0.6567
Ge 0.0000 0.0000 0.0000
Pa 0.4174 0.9174 0.8349
Pa 0.5826 0.0826 0.1651
Pa 0.0826 0.5826 0.1651
Pa 0.9174 0.4174 0.8349
H 0.4481 0.4481 0.8961
H 0.5519 0.5519 0.1039

Electronic total energy = -77.17 eV per formula unit

***

5.
Compound: IrPdPt2
Source: Alexandria
Functional: PBE-GGA
Structure: optimized geometry

Cell lengths 2.7924, 2.7924, 7.8404 Å; angles 90.00, 90.00, 90.00 degrees
Element x y z (fractional)
Pt 0.0000 0.0000 0.7574
Pt 0.0000 0.0000 0.2426
Ir 0.5000 0.5000 0.0000
Pd 0.5000 0.5000 0.5000

Polymorph energy (0 for the lowest one) = 0.000 eV/atom

***

6.
Compound: GaGeRh3
Source: Alexandria
Functional: PBE-GGA
Structure: optimized geometry

Cell lengths 5.8624, 7.2422, 7.2422 Å; angles 92.95, 82.15, 82.15 degrees
Element x y z (fractional)
Rh 0.0781 0.3183 0.4224
Rh 0.5323 0.9566 0.6985
Rh 0.4219 0.5776 0.6817
Rh 0.9996 0.9647 0.2893
Rh 0.9219 0.6817 0.5776
Rh 0.0323 0.6985 0.9566
Rh 0.9677 0.3015 0.0434
Rh 0.5004 0.7107 0.0353
Rh 0.4996 0.2893 0.9647
Rh 0.4677 0.0434 0.3015
Rh 0.0004 0.0353 0.7107
Rh 0.5781 0.4224 0.3183
Ga 0.7500 0.7123 0.2877
Ga 0.2500 0.2877 0.7123
Ga 0.7500 0.9927 0.0073
Ga 0.2500 0.0073 0.9927
Ge 0.7168 0.1858 0.5131
Ge 0.2832 0.8142 0.4869
Ge 0.2168 0.5131 0.1858
Ge 0.7832 0.4869 0.8142

Polymorph energy (0 for the lowest one) = 0.000 eV/atom

***

7.
Compound: Ho3In2H
Source: Alexandria
Functional: PBE-GGA
Structure: optimized geometry

Cell lengths 6.1721, 6.7072, 7.5907 Å; angles 95.59, 112.86, 90.70 degrees
Element x y z (fractional)
Ho 0.1916 0.6569 0.2231
Ho 0.0315 0.1559 0.2482
Ho 0.9685 0.8441 0.7518
Ho 0.4018 0.2490 0.9972
Ho 0.8084 0.3431 0.7769
Ho 0.5982 0.7510 0.0028
H 0.8935 0.6479 0.9375
H 0.1065 0.3521 0.0625
In 0.7362 0.5258 0.3734
In 0.3795 0.9695 0.6276
In 0.6205 0.0305 0.3724
In 0.2638 0.4742 0.6266

Electronic total energy = -24.80 eV per formula unit

***

8.
Compound: AlRe2Ni
Source: Alexandria
Functional: PBE-GGA
Structure: optimized geometry

Cell lengths 4.8243, 4.8243, 4.8243 Å; angles 141.40, 128.17, 66.46 degrees
Element x y z (fractional)
Re 0.7463 0.2463 0.5000
Re 0.0051 0.0051 0.0000
Al 0.4862 0.4862 0.0000
Ni 0.2623 0.7623 0.5000

Electronic total energy = -34.90 eV per formula unit

***

9.
Compound: LiMgSb2Te
Source: Alexandria
Functional: PBE-GGA
Structure: optimized geometry

Cell lengths 4.9553, 4.9553, 5.4145 Å; angles 90.00, 90.00, 90.00 degrees
Element x y z (fractional)
Sb 0.5000 0.0000 0.0000
Sb 0.0000 0.5000 0.0000
Te 0.0000 0.0000 0.5000
Li 0.0000 0.0000 0.0000
Mg 0.5000 0.5000 0.5000

Uncorrected formation energy = 0.183 eV per atom
Polymorph energy (0 for the lowest one) = 0.000 eV/atom

***

10.
Compound: YEr8Th6
Source: Alexandria
Functional: PBE-GGA
Structure: optimized geometry

Cell lengths 8.7258, 8.7258, 8.7258 Å; angles 60.64, 60.64, 60.64 degrees
Element x y z (fractional)
Er 0.6758 0.8028 0.1204
Er 0.1204 0.6758 0.8028
Er 0.1972 0.8796 0.3242
Er 0.8028 0.1204 0.6758
Er 0.8796 0.3242 0.1972
Er 0.3242 0.1972 0.8796
Er 0.4204 0.4204 0.4204
Er 0.5796 0.5796 0.5796
Th 0.4674 0.7349 0.9268
Th 0.7349 0.9268 0.4674
Th 0.5326 0.2651 0.0732
Th 0.0732 0.5326 0.2651
Th 0.9268 0.4674 0.7349
Th 0.2651 0.0732 0.5326
Y 0.0000 0.0000 0.0000

Electronic total energy = -85.18 eV per formula unit

***

11.
Compound: CaNd3Dy2S6
Source: Alexandria
Functional: PBE-GGA
Structure: optimized geometry

Cell lengths 6.8945, 6.8945, 7.0024 Å; angles 99.39, 99.39, 120.02 degrees
Element x y z (fractional)
Dy 0.6668 0.3332 0.0000
Dy 0.3332 0.6668 0.0000
S 0.0788 0.4142 0.2369
S 0.7428 0.7428 0.2332
S 0.4142 0.0788 0.2369
S 0.9212 0.5858 0.7631
S 0.2572 0.2572 0.7668
S 0.5858 0.9212 0.7631
Nd 0.8354 0.1646 0.5000
Nd 0.5000 0.5000 0.5000
Nd 0.1646 0.8354 0.5000
Ca 0.0000 0.0000 0.0000

Uncorrected formation energy = -2.027 eV per atom

***

12.
Compound: Sm4Cu5P7
Source: Alexandria
Functional: PBE-GGA
Structure: optimized geometry

Cell lengths 10.5993, 10.5993, 10.5993 Å; angles 150.78, 150.78, 41.79 degrees
Element x y z (fractional)
P 0.0000 0.5000 0.5000
P 0.5000 0.0000 0.5000
P 0.9290 0.4210 0.0000
P 0.0710 0.0710 0.4920
P 0.5000 0.5000 0.0000
P 0.4210 0.9290 0.0000
P 0.5790 0.5790 0.5080
Sm 0.3754 0.3754 0.5160
Sm 0.6246 0.1406 0.0000
Sm 0.8594 0.8594 0.4840
Sm 0.1406 0.6246 0.0000
Cu 0.7500 0.2500 0.5000
Cu 0.2500 0.7500 0.5000
Cu 0.2508 0.2508 0.0000
Cu 0.0000 0.0000 0.0000
Cu 0.7492 0.7492 0.0000

Electronic total energy = -90.04 eV per formula unit

***

Repeat the ninth record exactly.
Compound: LiMgSb2Te
Source: Alexandria
Functional: PBE-GGA
Structure: optimized geometry

Cell lengths 4.9553, 4.9553, 5.4145 Å; angles 90.00, 90.00, 90.00 degrees
Element x y z (fractional)
Sb 0.5000 0.0000 0.0000
Sb 0.0000 0.5000 0.0000
Te 0.0000 0.0000 0.5000
Li 0.0000 0.0000 0.0000
Mg 0.5000 0.5000 0.5000

Uncorrected formation energy = 0.183 eV per atom
Polymorph energy (0 for the lowest one) = 0.000 eV/atom

***

What did the first record say?
Compound: AlCoSb2Te
Source: Alexandria
Functional: PBE-GGA
Structure: optimized geometry

Cell lengths 4.7836, 4.7836, 5.6197 Å; angles 90.00, 90.00, 90.00 degrees
Element x y z (fractional)
Al 0.5000 0.5000 0.5000
Te 0.0000 0.0000 0.5000
Sb 0.0000 0.5000 0.0000
Sb 0.5000 0.0000 0.0000
Co 0.0000 0.0000 0.0000

Uncorrected formation energy = 0.413 eV per atom
Polymorph energy (0 for the lowest one) = 0.000 eV/atom